No. 1
Compound: KMoW2
Source: Alexandria
Functional: PBE
Structure: relaxed

Cell: 3.1319 3.8411 8.1311 Å, 90.00 90.00 90.00°
With the nearest neighbours (Å) after each atom.
Element x y z (fractional)
W1 0.5000 0.5000 0.1425  1 Mo 2.33
Mo1 0.5000 0.5000 0.8564  1 W 2.33
K1 0.0000 0.0000 0.4997  2 K 3.13
W2 0.0000 0.0000 0.0014  4 W 2.73, 4 Mo 2.74

The calculation puts the total energy at -33.886 eV per cell. As for the energy relative to the lowest polymorph listed for this composition: 4.70 kcal/mol of atoms. The volume is 24.45 A^3/atom. For the calculated formation energy, the calculation gives 0.99 eV/atom. Its space group is Pmm2 (25).

=====

No. 2
Compound: KMoW
Source: Alexandria
Functional: PBE
Structure: relaxed

Cell: 8.1471 8.1471 8.1471 Å, 161.26 155.64 30.91°
With the nearest neighbours (Å) after each atom.
Element x y z (fractional)
Mo1 0.3018 0.3018 0.0000  2 Mo 2.65, 4 W 2.72
W1 0.6976 0.6976 0.0000  2 W 2.65, 4 Mo 2.72
K1 0.0006 0.0006 0.0000  2 K 2.65

The calculation puts the total energy at -21.151 eV per cell. As for the energy relative to the lowest polymorph listed for this composition: 6.14 kcal/mol of atoms. The volume is 23.86 A^3/atom. For the calculated formation energy, the calculation gives 1.24 eV/atom. Its space group is Imm2 (44).